Run w
! PBE OsAu2, optimized geometry; values from VASP
! M_tot in μB/f.u.: 1.521
&SYSTEM
  ibrav = 0, nat = 6, ntyp = 2
/
ATOMIC_SPECIES
Os 190.23 Os.upf
Au 196.97 Au.upf
CELL_PARAMETERS angstrom
0.000 3.767 3.767
3.767 0.000 3.767
3.767 3.767 0.000
ATOMIC_POSITIONS angstrom
Os 0.942 0.942 0.942
Os 6.593 6.593 6.593
Au 3.767 1.884 1.884
Au 1.884 3.767 1.884
Au 1.884 1.884 3.767
Au 3.767 3.767 3.767



Run x
! PBE OsAu2, optimized geometry; values from VASP
! M_tot in μB/f.u.: 0.000
&SYSTEM
  ibrav = 0, nat = 6, ntyp = 2
/
ATOMIC_SPECIES
Os 190.23 Os.upf
Au 196.97 Au.upf
CELL_PARAMETERS angstrom
5.824 -1.394 0.000
5.824 1.394 0.000
-1.790 0.000 6.299
ATOMIC_POSITIONS angstrom
Os -0.363 0.000 2.076
Os 10.220 0.000 4.222
Au 2.862 0.000 2.229
Au 2.619 0.000 6.130
Au 7.239 0.000 0.169
Au 6.996 0.000 4.070



Energy ordering: run x at the bottom, the next structure 0.646 eV/atom above.